(1)
The following is a PBE calculation of a relaxed structure of CeY2In, from Alexandria via LeMat-Bulk.

Summary:
Energy above the lowest structure with this stoichiometry (meV/atom): 112.4
N(E_F) (states/eV per atom): 1.8110
Volume (Å³ per atom): 30.0
Total DFT energy (no corrections) (eV/atom): -5.50
ΔE_f (eV per atom): -0.1036

Cell and atoms, written as CIF:
```
data_CeY2In
_chemical_formula_sum 'Ce3 Y6 In3'
_space_group_name_H-M_alt 'R 3 m'
_space_group_IT_number 160
_space_group_name_Hall 'R 3 -2"'
_cell_length_a 3.5540
_cell_length_b 3.5540
_cell_length_c 32.9412
_cell_angle_alpha 90.00
_cell_angle_beta 90.00
_cell_angle_gamma 120.00
loop_
_atom_site_label
_atom_site_type_symbol
_atom_site_fract_x
_atom_site_fract_y
_atom_site_fract_z
Ce1 Ce 0.0000 0.0000 0.0000
Y1 Y 0.0000 0.0000 0.2448
Y2 Y 0.0000 0.0000 0.4219
In1 In 0.0000 0.0000 0.8335
```

---

(2)
The following is a PBE calculation of a relaxed structure of Ce2YIn4, from Alexandria via LeMat-Bulk.

Summary:
Energy above the lowest structure with this stoichiometry (meV/atom): 376.9
N(E_F) (states/eV per atom): 1.9651
Volume (Å³ per atom): 32.2
Total DFT energy (no corrections) (eV/atom): -4.05
ΔE_f (eV per atom): 0.1327

Cell and atoms, written as CIF:
```
data_Ce2YIn4
_chemical_formula_sum 'Ce4 Y2 In8'
_space_group_name_H-M_alt 'C m m m'
_space_group_IT_number 65
_space_group_name_Hall '-C 2 2'
_cell_length_a 6.213
_cell_length_b 11.605
_cell_length_c 6.247
_cell_angle_alpha 90.00
_cell_angle_beta 90.00
_cell_angle_gamma 90.00
loop_
_atom_site_label
_atom_site_type_symbol
_atom_site_fract_x
_atom_site_fract_y
_atom_site_fract_z
Ce1 Ce 0.000 0.119 0.000
Y1 Y 0.000 0.500 0.500
In1 In 0.000 0.134 0.500
In2 In 0.000 0.382 0.000
```

---

(3)
The following is a PBE calculation of a relaxed structure of Ce3YIn4, from Alexandria via LeMat-Bulk.

Summary:
N(E_F) (states/eV per atom): 2.2929
Volume (Å³ per atom): 27.2
Total DFT energy (no corrections) (eV/atom): -4.80
ΔE_f (eV per atom): -0.3946

Cell and atoms, written as CIF:
```
data_Ce3YIn4
_chemical_formula_sum 'Ce3 Y1 In4'
_space_group_name_H-M_alt 'P 4/m m m'
_space_group_IT_number 123
_space_group_name_Hall '-P 4 2'
_cell_length_a 3.421
_cell_length_b 3.421
_cell_length_c 18.591
_cell_angle_alpha 90.00
_cell_angle_beta 90.00
_cell_angle_gamma 90.00
loop_
_atom_site_label
_atom_site_type_symbol
_atom_site_fract_x
_atom_site_fract_y
_atom_site_fract_z
Ce1 Ce 0.000 0.000 0.000
Ce2 Ce 0.000 0.000 0.254
Y1 Y 0.000 0.000 0.500
In1 In 0.500 0.500 0.127
In2 In 0.500 0.500 0.380
```